Entry 1:
The following is a DFT calculation (PBE) of crystalline CuAg2 at its relaxed geometry.

Results
Polymorph energy (0 for the lowest one) (eV/atom): 0.0562
Volume (Å³/atom): 16.0
ΔE_f (eV/atom): 0.087

a b c (Å): 7.418 7.418 8.288
angles (deg): 123.07 123.07 22.38
Fractional coordinates of all 9 atoms:
1 Cu 0.000 0.000 0.000
2 Cu 0.546 0.546 0.305
3 Cu 0.889 0.889 0.321
4 Ag 0.101 0.101 0.627
5 Ag 0.215 0.215 0.317
6 Ag 0.339 0.339 0.005
7 Ag 0.440 0.440 0.652
8 Ag 0.660 0.660 0.982
9 Ag 0.777 0.777 0.662

Entry 2:
The following is a DFT calculation (PBE) of crystalline Cu3Ag5 at its relaxed geometry.

Results
Polymorph energy (0 for the lowest one) (eV/atom): 0.0503
Volume (Å³/atom): 15.6
ΔE_f (eV/atom): 0.087

a b c (Å): 2.850 3.828 11.467
angles (deg): 90.00 90.00 90.00
Fractional coordinates of all 8 atoms:
1 Cu 0.000 0.000 0.000
2 Cu 0.000 0.000 0.241
3 Cu 0.000 0.000 0.759
4 Ag 0.000 0.000 0.500
5 Ag 0.500 0.500 0.121
6 Ag 0.500 0.500 0.364
7 Ag 0.500 0.500 0.636
8 Ag 0.500 0.500 0.879

> Among the records above, which one has the highest polymorph energy (0 for the lowest one)?

CuAg2